A plane-wave DFT calculation with meta-GGA SCAN was carried out for a PBEsol-optimized structure of CaFeP2O7.

formation energy from raw total energies: -2587 meV/atom

a = 6.4497 Å, b = 6.4368 Å, c = 6.5855 Å
α = 80.66°, β = 80.62°, γ = 67.87°
Closest atoms and distances in Å follow each position.
Fractional coordinates of all 22 atoms:
P: 0.1627 0.6370 0.1043  4 O 1.51-1.66
P: 0.8373 0.3630 0.8957  4 O 1.51-1.66
P: 0.2578 0.2111 0.6170  4 O 1.51-1.61
P: 0.7422 0.7889 0.3830  4 O 1.51-1.61
Ca: 0.2241 0.7229 0.5813  6 O 2.30-2.46
Ca: 0.7759 0.2771 0.4187  6 O 2.30-2.46
Fe: 0.3146 0.0798 0.1095  5 O 2.04-2.16
Fe: 0.6854 0.9202 0.8905  5 O 2.04-2.16
O: 0.0434 0.7688 0.9149  1 P 1.53
O: 0.9566 0.2312 0.0851  1 P 1.53
O: 0.2554 0.7769 0.2061  1 P 1.53
O: 0.7446 0.2231 0.7939  1 P 1.53
O: 0.3180 0.3989 0.0702  1 P 1.51
O: 0.6820 0.6011 0.9298  1 P 1.51
O: 0.6018 0.6524 0.4893  1 P 1.51
O: 0.3982 0.3476 0.5107  1 P 1.51
O: 0.1781 0.1030 0.4682  1 P 1.54
O: 0.8219 0.8970 0.5318  1 P 1.54
O: 0.0372 0.4004 0.7172  2 P 1.61-1.66
O: 0.9628 0.5996 0.2828  2 P 1.61-1.66
O: 0.6347 0.9662 0.2058  1 P 1.54
O: 0.3653 0.0338 0.7942  1 P 1.54

---

A plane-wave DFT calculation with meta-GGA SCAN was carried out for a PBEsol-optimized structure of CaFeP4O12.

formation energy from raw total energies: -2503 meV/atom

a = 7.5555 Å, b = 7.5555 Å, c = 9.7562 Å
α = 98.62°, β = 111.50°, γ = 109.47°
Closest atoms and distances in Å follow each position.
Fractional coordinates of all 36 atoms:
Ca: 0.3024 0.0524 0.2500  6 O 2.24-2.39
Ca: 0.6976 0.9476 0.7500  6 O 2.24-2.39
Fe: 0.5000 0.0000 0.0000  6 O 2.00-2.18
Fe: 0.5000 0.5000 0.5000  6 O 2.00-2.18
P: 0.9889 0.3048 0.3000  4 O 1.49-1.60
P: 0.5049 0.6890 0.2000  4 O 1.49-1.60
P: 0.0111 0.6952 0.7000  4 O 1.49-1.60
P: 0.4951 0.3110 0.8000  4 O 1.49-1.60
P: 0.8112 0.2754 0.5288  4 O 1.48-1.61
P: 0.2466 0.2824 0.9712  4 O 1.48-1.61
P: 0.1888 0.7246 0.4712  4 O 1.48-1.61
P: 0.7534 0.7176 0.0288  4 O 1.48-1.61
O: 0.0264 0.5313 0.3226  2 P 1.60-1.61
O: 0.7086 0.7038 0.1774  2 P 1.60-1.61
O: 0.9736 0.4687 0.6774  2 P 1.60-1.61
O: 0.2914 0.2962 0.8226  2 P 1.60-1.61
O: 0.9566 0.2600 0.4463  2 P 1.60
O: 0.3137 0.5103 0.0537  2 P 1.60
O: 0.0434 0.7400 0.5537  2 P 1.60
O: 0.6863 0.4897 0.9463  2 P 1.60
O: 0.7966 0.1819 0.1522  1 P 1.49
O: 0.5297 0.6444 0.3478  1 P 1.49
O: 0.2034 0.8181 0.8478  1 P 1.49
O: 0.4703 0.3556 0.6522  1 P 1.49
O: 0.1906 0.2891 0.3197  1 P 1.51
O: 0.4693 0.8708 0.1803  1 P 1.51
O: 0.8094 0.7109 0.6803  1 P 1.51
O: 0.5307 0.1292 0.8197  1 P 1.51
O: 0.6340 0.3171 0.4256  1 P 1.51
O: 0.3915 0.2084 0.0744  1 P 1.51
O: 0.3660 0.6829 0.5744  1 P 1.51
O: 0.6085 0.7916 0.9256  1 P 1.51
O: 0.7583 0.1003 0.5819  1 P 1.48
O: 0.0184 0.1765 0.9181  1 P 1.48
O: 0.2417 0.8997 0.4181  1 P 1.48
O: 0.9816 0.8235 0.0819  1 P 1.48

---

A plane-wave DFT calculation with meta-GGA SCAN was carried out for a PBEsol-optimized structure of Ca2FeReO6.

formation energy from raw total energies: -2364 meV/atom

a = 5.2681 Å, b = 5.4182 Å, c = 7.5168 Å
α = 90.00°, β = 89.61°, γ = 90.00°
Closest atoms and distances in Å follow each position.
Fractional coordinates of all 20 atoms:
Re: 0.5000 0.0000 0.0000  6 O 1.94-1.95
Re: 0.0000 0.5000 0.5000  6 O 1.94-1.95
Ca: 0.0127 0.9493 0.7516  6 O 2.30-2.53
Ca: 0.4873 0.4493 0.7484  6 O 2.30-2.53
Ca: 0.9873 0.0507 0.2484  6 O 2.30-2.53
Ca: 0.5127 0.5507 0.2516  6 O 2.30-2.53
Fe: 0.0000 0.5000 0.0000  6 O 1.92-1.94
Fe: 0.5000 0.0000 0.5000  6 O 1.92-1.94
O: 0.0824 0.4808 0.2486  1 Fe 1.92, 1 Re 1.94
O: 0.4176 0.9808 0.2514  1 Fe 1.92, 1 Re 1.94
O: 0.9176 0.5192 0.7514  1 Fe 1.92, 1 Re 1.94
O: 0.5824 0.0192 0.7486  1 Fe 1.92, 1 Re 1.94
O: 0.7959 0.7921 0.0423  1 Fe 1.94, 1 Re 1.95
O: 0.7041 0.2921 0.4577  1 Fe 1.94, 1 Re 1.95
O: 0.2041 0.2079 0.9577  1 Fe 1.94, 1 Re 1.95
O: 0.2959 0.7079 0.5423  1 Fe 1.94, 1 Re 1.95
O: 0.2962 0.7064 0.9576  1 Fe 1.94, 1 Re 1.95
O: 0.2037 0.2064 0.5424  1 Fe 1.94, 1 Re 1.95
O: 0.7962 0.7936 0.4576  1 Fe 1.94, 1 Re 1.95
O: 0.7038 0.2936 0.0424  1 Fe 1.94, 1 Re 1.95

---

A plane-wave DFT calculation with meta-GGA SCAN was carried out for a PBEsol-optimized structure of Ca3FeRhO6.

formation energy from raw total energies: -2421 meV/atom

a = 6.3514 Å, b = 6.3514 Å, c = 6.3514 Å
α = 91.64°, β = 91.64°, γ = 91.64°
Closest atoms and distances in Å follow each position.
Fractional coordinates of all 22 atoms:
Ca: 0.6186 0.8814 0.2500  8 O 2.30-2.55
Ca: 0.2500 0.6186 0.8814  8 O 2.30-2.55
Ca: 0.8814 0.2500 0.6186  8 O 2.30-2.55
Ca: 0.3814 0.1186 0.7500  8 O 2.30-2.55
Ca: 0.1186 0.7500 0.3814  8 O 2.30-2.55
Ca: 0.7500 0.3814 0.1186  8 O 2.30-2.55
Fe: 0.2500 0.2500 0.2500  6 O 2.09
Fe: 0.7500 0.7500 0.7500  6 O 2.09
Rh: 0.0000 0.0000 0.0000  6 O 2.00
Rh: 0.5000 0.5000 0.5000  6 O 2.00
O: 0.7988 0.5978 0.4606  1 Rh 2.00, 1 Fe 2.09
O: 0.5978 0.4606 0.7988  1 Rh 2.00, 1 Fe 2.09
O: 0.4606 0.7988 0.5978  1 Rh 2.00, 1 Fe 2.09
O: 0.0394 0.9022 0.7012  1 Rh 2.00, 1 Fe 2.09
O: 0.9022 0.7012 0.0394  1 Rh 2.00, 1 Fe 2.09
O: 0.7012 0.0394 0.9022  1 Rh 2.00, 1 Fe 2.09
O: 0.2012 0.4022 0.5394  1 Rh 2.00, 1 Fe 2.09
O: 0.4022 0.5394 0.2012  1 Rh 2.00, 1 Fe 2.09
O: 0.5394 0.2012 0.4022  1 Rh 2.00, 1 Fe 2.09
O: 0.9606 0.0978 0.2988  1 Rh 2.00, 1 Fe 2.09
O: 0.2988 0.9606 0.0978  1 Rh 2.00, 1 Fe 2.09
O: 0.0978 0.2988 0.9606  1 Rh 2.00, 1 Fe 2.09

---

A plane-wave DFT calculation with meta-GGA SCAN was carried out for a PBEsol-optimized structure of Ca2FeSbO6.

formation energy from raw total energies: -2405 meV/atom

a = 5.4200 Å, b = 5.5621 Å, c = 7.7310 Å
α = 90.00°, β = 89.75°, γ = 90.00°
Closest atoms and distances in Å follow each position.
Fractional coordinates of all 20 atoms:
Ca: 0.0133 0.0520 0.2506  6 O 2.32-2.58
Ca: 0.4867 0.5520 0.2494  6 O 2.32-2.58
Ca: 0.5133 0.4480 0.7506  6 O 2.32-2.58
Ca: 0.9867 0.9480 0.7494  6 O 2.32-2.58
Fe: 0.0000 0.5000 0.5000  6 O 2.01-2.02
Fe: 0.5000 0.0000 0.0000  6 O 2.01-2.02
Sb: 0.0000 0.5000 0.0000  6 O 2.00
Sb: 0.5000 0.0000 0.5000  6 O 2.00
O: 0.4063 0.0296 0.7492  1 Sb 2.00, 1 Fe 2.01
O: 0.0937 0.5296 0.7508  1 Sb 2.00, 1 Fe 2.01
O: 0.5937 0.9704 0.2508  1 Sb 2.00, 1 Fe 2.01
O: 0.9063 0.4704 0.2492  1 Sb 2.00, 1 Fe 2.01
O: 0.8000 0.2058 0.9506  1 Sb 2.00, 1 Fe 2.02
O: 0.7000 0.7058 0.5494  1 Sb 2.00, 1 Fe 2.02
O: 0.2000 0.7942 0.0494  1 Sb 2.00, 1 Fe 2.02
O: 0.3000 0.2942 0.4506  1 Sb 2.00, 1 Fe 2.02
O: 0.2967 0.2969 0.0485  1 Sb 2.00, 1 Fe 2.02
O: 0.2033 0.7969 0.4515  1 Sb 2.00, 1 Fe 2.02
O: 0.7033 0.7031 0.9515  1 Sb 2.00, 1 Fe 2.02
O: 0.7967 0.2031 0.5485  1 Sb 2.00, 1 Fe 2.02

---

A plane-wave DFT calculation with meta-GGA SCAN was carried out for a PBEsol-optimized structure of CaFeSi2O6.

formation energy from raw total energies: -2830 meV/atom

a = 5.1775 Å, b = 6.6475 Å, c = 6.6475 Å
α = 83.27°, β = 79.75°, γ = 79.75°
Closest atoms and distances in Å follow each position.
Fractional coordinates of all 20 atoms:
Ca: 0.7500 0.3035 0.6965  4 O 2.32-2.33
Ca: 0.2500 0.6965 0.3035  4 O 2.32-2.33
Fe: 0.7500 0.9199 0.0801  6 O 2.08-2.15
Fe: 0.2500 0.0801 0.9199  6 O 2.08-2.15
Si: 0.2320 0.6135 0.8081  4 O 1.60-1.69
Si: 0.7320 0.8081 0.6135  4 O 1.60-1.69
Si: 0.7680 0.3865 0.1919  4 O 1.60-1.69
Si: 0.2680 0.1919 0.3865  4 O 1.60-1.69
O: 0.8464 0.2170 0.0266  1 Si 1.62
O: 0.3464 0.0266 0.2170  1 Si 1.62
O: 0.6536 0.9734 0.7830  1 Si 1.62
O: 0.1536 0.7830 0.9734  1 Si 1.62
O: 0.1717 0.1122 0.6199  1 Si 1.60
O: 0.3283 0.3801 0.8878  1 Si 1.60
O: 0.8283 0.8878 0.3801  1 Si 1.60
O: 0.6717 0.6199 0.1122  1 Si 1.60
O: 0.9868 0.6251 0.6711  2 Si 1.68-1.69
O: 0.4868 0.6711 0.6251  2 Si 1.68-1.69
O: 0.5132 0.3289 0.3749  2 Si 1.68-1.69
O: 0.0132 0.3749 0.3289  2 Si 1.68-1.69

---

A plane-wave DFT calculation with meta-GGA SCAN was carried out for a PBEsol-optimized structure of Ca4Zn3FeSi8O24.

formation energy from raw total energies: -2872 meV/atom

a = 5.2612 Å, b = 6.6452 Å, c = 13.2845 Å
α = 90.99°, β = 101.32°, γ = 101.53°
Closest atoms and distances in Å follow each position.
Fractional coordinates of all 40 atoms:
Ca: 0.0991 0.6990 0.8508  6 O 2.32-2.60
Ca: 0.6015 0.7021 0.3497  6 O 2.32-2.60
Ca: 0.3968 0.2964 0.6485  4 O 2.32-2.34
Ca: 0.9004 0.3003 0.1494  6 O 2.33-2.60
Zn: 0.2974 0.0938 0.0472  6 O 2.06-2.16
Zn: 0.7024 0.9055 0.9532  6 O 2.06-2.15
Zn: 0.2044 0.9074 0.4532  6 O 2.06-2.14
Fe: 0.7976 0.0956 0.5476  6 O 2.04-2.16
Si: 0.8651 0.6203 0.5966  4 O 1.60-1.69
Si: 0.3672 0.6205 0.0965  4 O 1.60-1.70
Si: 0.0388 0.1924 0.8108  4 O 1.60-1.69
Si: 0.5424 0.1937 0.3096  4 O 1.60-1.70
Si: 0.6322 0.3793 0.9038  4 O 1.60-1.69
Si: 0.1364 0.3813 0.4025  4 O 1.60-1.70
Si: 0.4572 0.8052 0.6904  4 O 1.60-1.69
Si: 0.9609 0.8079 0.1899  4 O 1.60-1.70
O: 0.8681 0.7949 0.5132  1 Si 1.62
O: 0.3687 0.7948 0.0131  1 Si 1.62
O: 0.0408 0.0250 0.8977  1 Si 1.62
O: 0.5441 0.0277 0.3973  1 Si 1.62
O: 0.6307 0.2046 0.9871  1 Si 1.62
O: 0.1357 0.2070 0.4857  1 Si 1.61
O: 0.4532 0.9716 0.6033  1 Si 1.61
O: 0.9592 0.9745 0.1027  1 Si 1.62
O: 0.7310 0.3878 0.5551  1 Si 1.60
O: 0.2305 0.3887 0.0550  1 Si 1.60
O: 0.0154 0.1102 0.6945  1 Si 1.60
O: 0.5214 0.1095 0.1940  1 Si 1.60
O: 0.7693 0.6109 0.9456  1 Si 1.60
O: 0.2719 0.6133 0.4440  1 Si 1.60
O: 0.4788 0.8880 0.8064  1 Si 1.60
O: 0.9820 0.8909 0.3058  1 Si 1.60
O: 0.1693 0.6277 0.6662  2 Si 1.68-1.69
O: 0.6727 0.6303 0.1656  2 Si 1.68-1.70
O: 0.8075 0.3308 0.8153  2 Si 1.67-1.69
O: 0.3112 0.3328 0.3136  2 Si 1.68-1.70
O: 0.3268 0.3698 0.8348  2 Si 1.68-1.69
O: 0.8303 0.3714 0.3337  2 Si 1.68-1.70
O: 0.6894 0.6675 0.6852  2 Si 1.68-1.69
O: 0.1923 0.6693 0.1852  2 Si 1.68-1.70

---

A plane-wave DFT calculation with meta-GGA SCAN was carried out for a PBEsol-optimized structure of Ca2Ta2FeO8.

formation energy from raw total energies: -2884 meV/atom

a = 5.3810 Å, b = 6.2575 Å, c = 9.8403 Å
α = 108.54°, β = 91.16°, γ = 90.00°
Closest atoms and distances in Å follow each position.
Fractional coordinates of all 26 atoms:
Ca: 0.2553 0.4746 0.5852  4 O 2.19-2.32
Ca: 0.2447 0.8893 0.4148  4 O 2.19-2.32
Ca: 0.7447 0.5254 0.4148  4 O 2.19-2.32
Ca: 0.7553 0.1107 0.5852  4 O 2.19-2.32
Ta: 0.2618 0.2577 0.2216  5 O 1.88-2.09
Ta: 0.2382 0.0361 0.7784  5 O 1.88-2.09
Ta: 0.7382 0.7423 0.7784  5 O 1.88-2.09
Ta: 0.7618 0.9639 0.2216  5 O 1.88-2.09
Fe: 0.7500 0.3914 0.0000  6 O 2.07-2.24
Fe: 0.2500 0.6086 0.0000  6 O 2.07-2.24
O: 0.5998 0.1997 0.1382  2 Ta 2.00-2.09
O: 0.9002 0.0614 0.8618  2 Ta 2.00-2.09
O: 0.4002 0.8003 0.8618  2 Ta 2.00-2.09
O: 0.0998 0.9386 0.1382  2 Ta 2.00-2.09
O: 0.0833 0.4077 0.1127  1 Ta 1.88, 1 Fe 2.07
O: 0.4167 0.2950 0.8873  1 Ta 1.88, 1 Fe 2.07
O: 0.9167 0.5923 0.8873  1 Ta 1.88, 1 Fe 2.07
O: 0.5833 0.7050 0.1127  1 Ta 1.88, 1 Fe 2.07
O: 0.0029 0.2357 0.3632  2 Ta 2.02-2.22, 1 Ca 2.22
O: 0.4971 0.8726 0.6368  2 Ta 2.02-2.22, 1 Ca 2.22
O: 0.5029 0.1274 0.3632  2 Ta 2.02-2.22, 1 Ca 2.22
O: 0.9971 0.7643 0.6368  2 Ta 2.02-2.22, 1 Ca 2.22
O: 0.8404 0.8353 0.3693  1 Ta 1.91
O: 0.6596 0.4660 0.6307  1 Ta 1.91
O: 0.1596 0.1647 0.6307  1 Ta 1.91
O: 0.3404 0.5340 0.3693  1 Ta 1.91